(1)
GGA-PBEsol SmSi2Ir2, optimized geometry; mass density = 11916 kg/m³; formation energy without anion corrections = -5.569 eV/f.u.
1.0
4.057 0.000 0.000
0.000 4.057 0.000
-2.028 -2.028 5.003
Si Ir Sm
2 2 1
Direct
0.378 0.378 0.756
0.622 0.622 0.244
0.250 0.750 0.500
0.750 0.250 0.500
0.000 0.000 0.000

(2)
GGA-PBEsol SrSiIr2, optimized geometry; mass density = 10743 kg/m³; formation energy without anion corrections = -0.750 eV/f.u.
1.0
2.942 0.000 0.000
-1.471 4.977 0.011
0.000 -2.323 5.276
Ir Si Sr
2 1 1
Direct
0.029 0.059 0.159
0.751 0.503 0.196
0.457 0.915 0.415
0.262 0.524 0.730

(3)
GGA-PBEsol SrSiIr, optimized geometry; mass density = 7639 kg/m³; formation energy without anion corrections = -1.894 eV/f.u.
1.0
-3.432 1.842 -1.093
-0.037 -2.750 2.966
0.820 3.406 3.169
Ir Si Sr
1 1 1
Direct
0.000 0.000 0.000
0.333 0.667 0.000
0.667 0.333 0.500

(4)
GGA-PBEsol SrSiIr, optimized geometry; mass density = 7985 kg/m³; formation energy without anion corrections = 0.759 eV/f.u.
1.0
4.491 0.000 0.000
2.245 3.889 0.000
2.245 1.296 3.667
Si Sr Ir
1 1 1
Direct
0.250 0.250 0.250
0.000 0.000 0.000
0.500 0.500 0.500

(5)
GGA-PBEsol SrSiIr, optimized geometry; mass density = 7790 kg/m³; formation energy without anion corrections = 0.297 eV/f.u.
1.0
-4.095 -0.399 1.891
-0.744 -3.179 3.137
-0.622 1.189 4.324
Sr Si Ir
1 1 1
Direct
0.500 0.500 0.500
0.000 0.000 0.000
0.250 0.250 0.250

(6)
GGA-PBEsol SrSiIr, optimized geometry; mass density = 8829 kg/m³; formation energy without anion corrections = -1.232 eV/f.u.
1.0
-0.533 2.824 -1.382
-0.619 -1.468 -2.762
-4.930 -1.023 3.491
Ir Sr Si
1 1 1
Direct
0.961 0.961 0.922
0.666 0.666 0.332
0.373 0.373 0.746

(7)
GGA-PBEsol TaSiIr3, optimized geometry; mass density = 12366 kg/m³; formation energy without anion corrections = 8.976 eV/f.u.
1.0
4.725 0.000 0.000
0.000 4.725 0.000
0.000 0.000 4.725
Ir Si Ta
3 1 1
Direct
0.000 0.000 0.500
0.000 0.500 0.000
0.500 0.000 0.000
0.500 0.500 0.500
0.000 0.000 0.000

(8)
GGA-PBEsol TbSiIr, optimized geometry; mass density = 11944 kg/m³; formation energy without anion corrections = -3.262 eV/f.u.
1.0
4.219 0.000 0.000
0.000 6.852 0.000
0.000 0.000 7.295
Ir Si Tb
4 4 4
Direct
0.750 0.345 0.569
0.250 0.155 0.069
0.250 0.655 0.431
0.750 0.845 0.931
0.250 0.800 0.110
0.250 0.300 0.390
0.750 0.700 0.610
0.750 0.200 0.890
0.250 0.997 0.684
0.250 0.497 0.816
0.750 0.503 0.184
0.750 0.003 0.316

(9)
GGA-PBEsol Si2TcIr, optimized geometry; offset from the most stable computed form = 0.292 eV per atom; mass density = 10510 kg/m³; formation energy without anion corrections = -1.387 eV/f.u.
1.0
2.811 0.000 0.000
0.000 3.793 0.000
0.000 0.000 5.133
Si Ir Tc
2 1 1
Direct
0.000 0.000 0.729
0.000 0.000 0.271
0.000 0.500 0.000
0.500 0.500 0.500

(10)
GGA-PBEsol SiTc4Ir, optimized geometry; mass density = 11617 kg/m³; formation energy without anion corrections = 3.023 eV/f.u.
1.0
-4.571 -0.842 1.800
-1.264 -4.563 1.556
-0.639 -0.887 4.862
Tc Si Ir
4 1 1
Direct
0.375 0.375 0.375
0.874 0.375 0.375
0.375 0.375 0.874
0.375 0.874 0.375
0.000 0.000 0.000
0.750 0.750 0.750

(11)
GGA-PBEsol Si2TcIr, optimized geometry; offset from the most stable computed form = 0.000 eV per atom; mass density = 11328 kg/m³; formation energy without anion corrections = -2.554 eV/f.u.
1.0
4.156 0.000 0.000
2.078 3.600 0.000
2.078 1.200 3.394
Tc Si Ir
1 2 1
Direct
0.000 0.000 0.000
0.250 0.250 0.250
0.750 0.750 0.750
0.500 0.500 0.500

(12)
GGA-PBEsol Si2TcIr, optimized geometry; offset from the most stable computed form = 0.009 eV per atom; mass density = 11273 kg/m³; formation energy without anion corrections = -2.518 eV/f.u.
1.0
-1.859 -1.476 -1.771
-0.863 -2.627 3.096
-3.114 2.460 1.219
Ir Si Tc
1 2 1
Direct
0.500 0.000 0.000
0.000 0.500 0.000
0.000 0.000 0.500
0.500 0.500 0.500